(1)
VASP calculation (GGA-PBE) on CePm3Au2 after structural relaxation.

## Properties
total DFT energy (no corrections) = -4.80 eV per atom
M_tot = 1.50 μB/f.u.
D(E_F) = 2.02 states/eV/atom

```
CePm3Au2
1.0
-3.6561 7.0692 3.7154
3.6561 -7.0692 3.7154
3.6561 7.0692 -3.7154
Ce Pm Au
2 6 4
direct
0.0000 0.0000 0.0000 Ce
0.5000 0.5000 0.0000 Ce
0.0187 0.2500 0.7687 Pm
0.2500 0.7500 0.5000 Pm
0.4813 0.2500 0.2313 Pm
0.5187 0.7500 0.7687 Pm
0.7500 0.2500 0.5000 Pm
0.9813 0.7500 0.2313 Pm
0.1412 0.7026 0.8438 Au
0.3588 0.2026 0.5614 Au
0.6412 0.7974 0.4386 Au
0.8588 0.2974 0.1562 Au
```

***

(2)
VASP calculation (GGA-PBE) on Be2IrCl after structural relaxation.

## Properties
polymorph energy (0 for the lowest one) = 228 meV per atom
uncorrected formation energy = -0.17 eV per atom
M_tot = 0.00 μB/f.u.
D(E_F) = 0.14 states/eV/atom

```
Be2IrCl
1.0
3.0356 0.0000 0.0000
0.0000 3.0356 0.0000
0.0000 0.0000 7.2094
Be Ir Cl
2 1 1
direct
0.0000 0.0000 0.0000 Be
0.5000 0.5000 0.2123 Be
0.5000 0.5000 0.9192 Ir
0.0000 0.0000 0.3629 Cl
```

***

(3)
VASP calculation (GGA-PBE) on CsSb after structural relaxation.

## Properties
polymorph energy (0 for the lowest one) = 306 meV per atom
uncorrected formation energy = -0.16 eV per atom
M_tot = 0.00 μB/f.u.
D(E_F) = 0.57 states/eV/atom

```
CsSb
1.0
3.5041 0.0000 0.0000
0.0000 3.6418 0.0000
0.0000 0.0000 6.0844
Cs Sb
1 1
direct
0.0000 0.0000 0.0000 Cs
0.5000 0.5000 0.5000 Sb
```

***

(4)
VASP calculation (GGA-PBE) on Y2ZnCu after structural relaxation.

## Properties
total DFT energy (no corrections) = -4.64 eV per atom
M_tot = 0.00 μB/f.u.
D(E_F) = 1.52 states/eV/atom

```
Y2ZnCu
1.0
1.8995 1.0967 7.9326
-1.8995 1.0967 7.9326
0.0000 -2.1933 7.9326
Y Zn Cu
2 1 1
direct
0.2442 0.2442 0.2442 Y
0.7558 0.7558 0.7558 Y
0.0000 0.0000 0.0000 Zn
0.5000 0.5000 0.5000 Cu
```